## HfMnO3 (PBE with a Hubbard U)

Data for a relaxed structure of HfMnO3.

abc: 5.6374 5.6374 2.8631
angles: 90.00 90.00 120.00
Space group P-6m2 (No. 187)
Inequivalent atoms, fractional coordinates:
1 Hf 0.0000 0.0000 0.0000 [1 per cell]
2 Mn 0.3333 0.6667 0.0000 [1 per cell]
3 O 0.1578 0.3156 0.5000 [3 per cell]

---

## Hf2MnO (PBE with a Hubbard U)

Data for a relaxed structure of Hf2MnO.

abc: 6.351 6.351 6.746
angles: 90.00 90.00 90.00
Space group I-42d (No. 122)
Inequivalent atoms, fractional coordinates:
1 Hf 0.166 0.750 0.125 [8 per cell]
2 Mn 0.000 0.000 0.500 [4 per cell]
3 O 0.000 0.000 0.000 [4 per cell]

## Properties
* offset from the most stable computed form: 0.0 meV/atom

---

## Hf2MnO (PBE with a Hubbard U)

Data for a relaxed structure of Hf2MnO.

abc: 6.228 6.228 6.228
angles: 90.00 90.00 90.00
Space group Fm-3m (No. 225)
Inequivalent atoms, fractional coordinates:
1 Hf 0.250 0.250 0.250 [8 per cell]
2 Mn 0.000 0.000 0.000 [4 per cell]
3 O 0.000 0.000 0.500 [4 per cell]

## Properties
* offset from the most stable computed form: 702.6 meV/atom

---

## Hf2Mn2O (PBE with a Hubbard U)

Data for a relaxed structure of Hf2Mn2O.

abc: 3.383 3.383 15.477
angles: 90.00 90.00 90.00
Space group I4/mmm (No. 139)
Inequivalent atoms, fractional coordinates:
1 Hf 0.000 0.000 0.094 [4 per cell]
2 Mn 0.000 0.500 0.250 [4 per cell]
3 O 0.000 0.000 0.500 [2 per cell]

## Properties
* offset from the most stable computed form: 1021.0 meV/atom

---

## HfMnO2 (PBE with a Hubbard U)

Data for a relaxed structure of HfMnO2.

abc: 3.3247 3.3247 18.5205
angles: 90.00 90.00 120.00
Space group R-3m (No. 166, hexagonal axes)
Inequivalent atoms, fractional coordinates:
1 Hf 0.0000 0.0000 0.0000 [3 per cell]
2 Mn 0.0000 0.0000 0.5000 [3 per cell]
3 O 0.0000 0.0000 0.3814 [6 per cell]

## Properties
* offset from the most stable computed form: 0.0 meV/atom

---

## HfMnO3 (PBE with a Hubbard U)

Data for a relaxed structure of HfMnO3.

abc: 3.779 3.779 3.779
angles: 90.00 90.00 90.00
Space group Pm-3m (No. 221)
Inequivalent atoms, fractional coordinates:
1 Hf 0.000 0.000 0.000 [1 per cell]
2 Mn 0.500 0.500 0.500 [1 per cell]
3 O 0.000 0.500 0.500 [3 per cell]

---

no.,uncorrected energy (eV per atom),density of states at the Fermi level (states/eV/atom)
1,-9.043,0.000
2,-8.225,1.168
3,-7.522,1.126
4,-7.480,0.808
5,-8.966,0.150
6,-7.917,0.467